1.
Sm2Y4Sc (GGA-PBE, optimized geometry); energy relative to the elements = 1.53 eV per formula unit; M_tot = 0.000 μB per formula unit
1.0
4.369 -5.280 0.000
4.369 5.280 0.000
0.000 0.000 5.073
Sm Y Sc
2 4 1
direct
0.198 0.802 0.000
0.802 0.198 0.000
0.000 0.500 0.500
0.299 0.299 0.000
0.500 0.000 0.500
0.701 0.701 0.000
0.000 0.000 0.500

=====

2.
CoPSe2 (GGA-PBE, optimized geometry); VASP energy = -4.673 eV per atom; M_tot = 1.278 μB per formula unit
1.0
3.643 0.000 0.000
0.000 3.668 0.000
0.000 0.000 5.060
Co P Se
1 1 2
direct
0.000 0.000 0.000
0.500 0.500 0.500
0.000 0.000 0.500
0.500 0.500 0.000

=====

3.
La6Ir3Pb (GGA-PBE, optimized geometry); energy relative to the elements = -6.69 eV per formula unit; M_tot = 0.000 μB per formula unit
1.0
12.104 0.000 0.000
0.000 4.278 0.000
-3.748 0.000 12.011
La Ir Pb
12 6 2
direct
0.026 0.250 0.390
0.108 0.250 0.948
0.206 0.750 0.259
0.290 0.750 0.765
0.352 0.250 0.533
0.420 0.750 0.084
0.580 0.250 0.916
0.648 0.750 0.467
0.710 0.250 0.235
0.794 0.250 0.741
0.892 0.750 0.052
0.974 0.750 0.610
0.043 0.250 0.163
0.178 0.750 0.495
0.342 0.250 0.917
0.658 0.750 0.083
0.822 0.250 0.505
0.957 0.750 0.837
0.448 0.250 0.305
0.552 0.750 0.695

=====

4.
Tb4MgZn2Pt (GGA-PBE, optimized geometry); energy relative to the elements = -4.16 eV per formula unit; M_tot = 0.000 μB per formula unit
1.0
2.550 1.472 8.351
-2.550 1.472 8.351
0.000 -2.944 8.351
Tb Mg Zn Pt
4 1 2 1
direct
0.116 0.116 0.116
0.369 0.369 0.369
0.631 0.631 0.631
0.884 0.884 0.884
0.500 0.500 0.500
0.237 0.237 0.237
0.763 0.763 0.763
0.000 0.000 0.000